# 1
Computed, not measured: CsRuS2Cl after structural relaxation at the PBE-GGA level of DFT.

Properties
Energy above the lowest structure with this stoichiometry (meV per atom): 0
Space group: P4/mmm
Magnetization (μB per formula unit): 0.46
Energy relative to the elements, uncorrected (eV per atom): -0.453
Crystal system: tetragonal

abc: 4.6503 4.6503 5.6102
angles: 90.00 90.00 90.00
Site moments in Bohr magnetons follow the coordinates.
Positions (direct):
Cs 0.5000 0.5000 0.5000  0.00
Ru 0.0000 0.0000 0.0000  0.33
S 0.0000 0.5000 0.0000  0.03
S 0.5000 0.0000 0.0000  0.03
Cl 0.0000 0.0000 0.5000  0.01

=====

# 2
Computed, not measured: CsRuS2Cl after structural relaxation at the PBE-GGA level of DFT.

Properties
Energy above the lowest structure with this stoichiometry (meV per atom): 1988
Space group: P4/mmm
Magnetization (μB per formula unit): 3.63
Energy relative to the elements, uncorrected (eV per atom): 1.535
Crystal system: tetragonal

abc: 5.4206 5.4206 6.1168
angles: 90.00 90.00 90.00
Site moments in Bohr magnetons follow the coordinates.
Positions (direct):
Cs 0.0000 0.0000 0.0000  0.00
Ru 0.5000 0.5000 0.5000  2.95
S 0.0000 0.5000 0.0000  0.10
S 0.5000 0.0000 0.0000  0.10
Cl 0.0000 0.0000 0.5000  0.06

=====

# 3
Computed, not measured: Cs2SbRuCl after structural relaxation at the PBE-GGA level of DFT.

Properties
Space group: P4/mmm
Magnetization (μB per formula unit): 1.72
Energy relative to the elements, uncorrected (eV per atom): -0.080
Crystal system: tetragonal

abc: 7.3366 4.9817 7.3366
angles: 90.00 90.00 90.00
Site moments in Bohr magnetons follow the coordinates.
Positions (direct):
Cs 0.0000 0.0000 0.5000  0.00
Cs 0.5000 0.0000 0.0000  0.00
Sb 0.0000 0.0000 0.0000  -0.04
Cl 0.5000 0.5000 0.5000  0.01
Ru 0.0000 0.5000 0.0000  1.40

=====

# 4
Computed, not measured: Cs2SnRuCl6 after structural relaxation at the PBE-GGA level of DFT.

Properties
Space group: Fm-3m
Magnetization (μB per formula unit): 0.00
Energy relative to the elements, uncorrected (eV per atom): -1.169
Crystal system: cubic

abc: 7.4254 7.4254 7.4238
angles: 59.99 59.99 90.00
Positions (direct):
Cs 0.7500 0.2500 0.5000
Cs 0.2500 0.7500 0.5000
Ru 0.5000 0.5000 0.0000
Sn 0.0000 0.0000 0.0000
Cl 0.2672 0.2672 0.4656
Cl 0.7328 0.7328 0.5344
Cl 0.2673 0.2673 0.0000
Cl 0.7327 0.7327 0.0000
Cl 0.7327 0.2673 0.0000
Cl 0.2673 0.7327 0.0000